1.
The following is a GGA-PBE calculation of a relaxed structure of LuAsO, from Alexandria.

Geometry as CIF:
```
data_LuAsO
_chemical_formula_sum 'Lu1 As1 O1'
_space_group_name_H-M_alt 'P 3 m 1'
_space_group_IT_number 156
_cell_length_a 3.3948
_cell_length_b 3.3948
_cell_length_c 6.7399
_cell_angle_alpha 90.00
_cell_angle_beta 90.00
_cell_angle_gamma 120.00
loop_
_space_group_symop_operation_xyz
'x,y,z'
'-y,x-y,z'
'-x+y,-x,z'
'-y,-x,z'
'-x+y,y,z'
'x,x-y,z'
loop_
_atom_site_label
_atom_site_type_symbol
_atom_site_fract_x
_atom_site_fract_y
_atom_site_fract_z
Lu1 Lu 0.0000 0.0000 0.0000
As1 As 0.3333 0.6667 0.3642
O1 O 0.6667 0.3333 0.8978
```

Summary:
* electronic total energy: -6.597 eV per atom
* D(E_F): 0.77 states/eV per cell
* formation energy from raw total energies: -1.89 eV/atom

2.
The following is a GGA-PBE calculation of a relaxed structure of Lu2AsP, from Alexandria.

Geometry as CIF:
```
data_Lu2AsP
_chemical_formula_sum 'Lu6 As3 P3'
_space_group_name_H-M_alt 'R -3 m'
_space_group_IT_number 166
_space_group_name_Hall '-R 3 2"'
_cell_length_a 3.9731
_cell_length_b 3.9731
_cell_length_c 19.4848
_cell_angle_alpha 90.00
_cell_angle_beta 90.00
_cell_angle_gamma 120.00
loop_
_atom_site_label
_atom_site_type_symbol
_atom_site_fract_x
_atom_site_fract_y
_atom_site_fract_z
Lu1 Lu 0.0000 0.0000 0.2476
As1 As 0.0000 0.0000 0.0000
P1 P 0.0000 0.0000 0.5000
```

Summary:
* electronic total energy: -6.303 eV per atom
* energy of formation: -1.527 eV per atom
* D(E_F): 1.61 states/eV per cell

3.
The following is a GGA-PBE calculation of a relaxed structure of LuPa2As, from Alexandria.

Geometry as CIF:
```
data_LuPa2As
_chemical_formula_sum 'Lu3 Pa6 As3'
_space_group_name_H-M_alt 'R -3 m'
_space_group_IT_number 166
_space_group_name_Hall '-R 3 2"'
_cell_length_a 3.3902
_cell_length_b 3.3902
_cell_length_c 31.5843
_cell_angle_alpha 90.00
_cell_angle_beta 90.00
_cell_angle_gamma 120.00
loop_
_atom_site_label
_atom_site_type_symbol
_atom_site_fract_x
_atom_site_fract_y
_atom_site_fract_z
Lu1 Lu 0.0000 0.0000 0.0000
Pa1 Pa 0.0000 0.0000 0.1005
As1 As 0.0000 0.0000 0.5000
```

Summary:
* electronic total energy: -7.009 eV per atom
* energy of formation: 0.032 eV per atom
* D(E_F): 17.71 states/eV per cell

4.
The following is a GGA-PBE calculation of a relaxed structure of LuAs2Pd, from Alexandria.

Geometry as CIF:
```
data_LuAs2Pd
_chemical_formula_sum 'Lu3 As6 Pd3'
_space_group_name_H-M_alt 'R -3 m'
_space_group_IT_number 166
_space_group_name_Hall '-R 3 2"'
_cell_length_a 3.4610
_cell_length_b 3.4610
_cell_length_c 26.4252
_cell_angle_alpha 90.00
_cell_angle_beta 90.00
_cell_angle_gamma 120.00
loop_
_atom_site_label
_atom_site_type_symbol
_atom_site_fract_x
_atom_site_fract_y
_atom_site_fract_z
Lu1 Lu 0.0000 0.0000 0.0000
As1 As 0.0000 0.0000 0.1061
Pd1 Pd 0.0000 0.0000 0.5000
```

Summary:
* electronic total energy: -4.861 eV per atom
* energy of formation: -0.108 eV per atom
* D(E_F): 6.35 states/eV per cell

5.
The following is a GGA-PBE calculation of a relaxed structure of LuAsPd2, from Alexandria.

Geometry as CIF:
```
data_LuAsPd2
_chemical_formula_sum 'Lu1 As1 Pd2'
_space_group_name_H-M_alt 'P 4/m m m'
_space_group_IT_number 123
_space_group_name_Hall '-P 4 2'
_cell_length_a 4.1408
_cell_length_b 4.1408
_cell_length_c 4.1402
_cell_angle_alpha 90.00
_cell_angle_beta 90.00
_cell_angle_gamma 90.00
loop_
_atom_site_label
_atom_site_type_symbol
_atom_site_fract_x
_atom_site_fract_y
_atom_site_fract_z
Lu1 Lu 0.0000 0.0000 0.0000
As1 As 0.5000 0.5000 0.0000
Pd1 Pd 0.0000 0.5000 0.5000
```

Summary:
* electronic total energy: -5.685 eV per atom
* energy of formation: -0.796 eV per atom
* D(E_F): 1.61 states/eV per cell

6.
The following is a GGA-PBE calculation of a relaxed structure of PmLu2As, from Alexandria.

Geometry as CIF:
```
data_PmLu2As
_chemical_formula_sum 'Pm3 Lu6 As3'
_space_group_name_H-M_alt 'R -3 m'
_space_group_IT_number 166
_space_group_name_Hall '-R 3 2"'
_cell_length_a 3.7096
_cell_length_b 3.7096
_cell_length_c 31.0944
_cell_angle_alpha 90.00
_cell_angle_beta 90.00
_cell_angle_gamma 120.00
loop_
_atom_site_label
_atom_site_type_symbol
_atom_site_fract_x
_atom_site_fract_y
_atom_site_fract_z
Pm1 Pm 0.0000 0.0000 0.0000
Lu1 Lu 0.0000 0.0000 0.1117
As1 As 0.0000 0.0000 0.5000
```

Summary:
* electronic total energy: -4.977 eV per atom
* energy of formation: -0.366 eV per atom
* D(E_F): 15.30 states/eV per cell